Record 1
Density functional theory data (PBE-GGA) for an optimized crystal structure of Na3Y2SnSe6.

Output
The total energy is -4.84 eV per atom. For the total moment, the calculation gives 0.00 μB/cell. The formation energy from raw total energies is -1570 kJ/mol of formula units. Its density of states at the Fermi level is 0.35 states/eV per atom.

CIF file:
```
data_Na3Y2SnSe6
_cell_length_a 7.198
_cell_length_b 12.467
_cell_length_c 7.398
_cell_angle_alpha 90.00
_cell_angle_beta 108.97
_cell_angle_gamma 90.00
_space_group_name_H-M_alt 'C 1 2/m 1'
_space_group_IT_number 12
_space_group_name_Hall '-C 2y'
loop_
_atom_site_label
_atom_site_type_symbol
_atom_site_fract_x
_atom_site_fract_y
_atom_site_fract_z
Na1 Na 0.000 0.000 0.000
Na2 Na 0.000 0.336 0.000
Y1 Y 0.000 0.167 0.500
Sn1 Sn 0.000 0.500 0.500
Se1 Se 0.243 0.000 0.729
Se2 Se 0.244 0.333 0.730
```

Record 2
Density functional theory data (PBE-GGA) for an optimized crystal structure of NaZn2SnSe4.

Output
The total energy is -3.32 eV per atom. For the total moment, the calculation gives 0.00 μB/cell. The formation energy from raw total energies is -457 kJ/mol of formula units. Its density of states at the Fermi level is 0.65 states/eV per atom.

CIF file:
```
data_NaZn2SnSe4
_cell_length_a 8.503
_cell_length_b 8.506
_cell_length_c 12.519
_cell_angle_alpha 90.00
_cell_angle_beta 90.00
_cell_angle_gamma 90.00
_space_group_name_H-M_alt 'F m m 2'
_space_group_IT_number 42
_space_group_name_Hall 'F 2 -2'
loop_
_atom_site_label
_atom_site_type_symbol
_atom_site_fract_x
_atom_site_fract_y
_atom_site_fract_z
Na1 Na 0.000 0.000 0.000
Zn1 Zn 0.250 0.250 0.250
Sn1 Sn 0.000 0.000 0.499
Se1 Se 0.000 0.246 0.641
Se2 Se 0.246 0.000 0.358
```